Record 1
Below is PrBeTe2 after structural relaxation, with properties calculated at the PBE level.

- spin magnetization (μB per formula unit) = 0.00
- formation energy (no corrections) (eV per atom) = -0.077
- density of states at the Fermi level (states/eV per cell) = 11.0

Structure (CIF):
```
data_PrBeTe2
_cell_length_a 3.8012
_cell_length_b 3.8012
_cell_length_c 27.7377
_cell_angle_alpha 90.00
_cell_angle_beta 90.00
_cell_angle_gamma 120.00
_space_group_name_H-M_alt 'R -3 m'
_space_group_IT_number 166
_space_group_name_Hall '-R 3 2"'
loop_
_atom_site_label
_atom_site_type_symbol
_atom_site_fract_x
_atom_site_fract_y
_atom_site_fract_z
Pr1 Pr 0.0000 0.0000 0.0000
Be1 Be 0.0000 0.0000 0.5000
Te1 Te 0.0000 0.0000 0.1133
```

---

Record 2
Below is Na2AcTmTe4 after structural relaxation, with properties calculated at the PBE level.

- spin magnetization (μB per formula unit) = 0.00
- formation energy (no corrections) (eV per atom) = -1.323
- density of states at the Fermi level (states/eV per cell) = 0.0

Structure (CIF):
```
data_Na2AcTmTe4
_cell_length_a 7.958
_cell_length_b 4.580
_cell_length_c 8.029
_cell_angle_alpha 90.00
_cell_angle_beta 109.24
_cell_angle_gamma 90.00
_space_group_name_H-M_alt 'P 1 2/m 1'
_space_group_IT_number 10
loop_
_space_group_symop_operation_xyz
'x,y,z'
'-x,-y,-z'
'-x,y,-z'
'x,-y,z'
loop_
_atom_site_label
_atom_site_type_symbol
_atom_site_fract_x
_atom_site_fract_y
_atom_site_fract_z
Na1 Na 0.000 0.000 0.000
Na2 Na 0.500 0.500 0.000
Ac1 Ac 0.000 0.500 0.500
Tm1 Tm 0.500 0.000 0.500
Te1 Te 0.268 0.000 0.743
Te2 Te 0.274 0.500 0.268
```

---

Record 3
Below is Mn2Cd2Ga after structural relaxation, with properties calculated at the PBE level.

- spin magnetization (μB per formula unit) = 4.46
- energy relative to the elements (meV per atom) = 241
- density of states at the Fermi level (states/eV per cell) = 5.9

Structure (CIF):
```
data_Mn2Cd2Ga
_cell_length_a 6.286
_cell_length_b 6.286
_cell_length_c 4.342
_cell_angle_alpha 90.00
_cell_angle_beta 90.00
_cell_angle_gamma 90.00
_space_group_name_H-M_alt 'P 4/m b m'
_space_group_IT_number 127
_space_group_name_Hall '-P 4 2ab'
loop_
_atom_site_label
_atom_site_type_symbol
_atom_site_fract_x
_atom_site_fract_y
_atom_site_fract_z
Mn1 Mn 0.133 0.367 0.000
Cd1 Cd 0.166 0.666 0.500
Ga1 Ga 0.000 0.000 0.000
```

---

Record 4
Below is RbSeNO2 after structural relaxation, with properties calculated at the PBE level.

- spin magnetization (μB per formula unit) = 2.00
- formation energy (no corrections) (eV per atom) = 1.815
- density of states at the Fermi level (states/eV per cell) = 4.0

Structure (CIF):
```
data_RbSeNO2
_cell_length_a 5.046
_cell_length_b 5.046
_cell_length_c 5.530
_cell_angle_alpha 90.00
_cell_angle_beta 90.00
_cell_angle_gamma 90.00
_space_group_name_H-M_alt 'P 4/m m m'
_space_group_IT_number 123
_space_group_name_Hall '-P 4 2'
loop_
_atom_site_label
_atom_site_type_symbol
_atom_site_fract_x
_atom_site_fract_y
_atom_site_fract_z
Rb1 Rb 0.000 0.000 0.000
Se1 Se 0.500 0.500 0.500
N1 N 0.000 0.000 0.500
O1 O 0.000 0.500 0.000
```

---

Record 5
Below is Ba2Mg2H after structural relaxation, with properties calculated at the PBE level.

- spin magnetization (μB per formula unit) = 0.00
- density of states at the Fermi level (states/eV per cell) = 13.8
- distance to the lowest polymorph of the same formula (eV/f.u.) = 0.00

Structure (CIF):
```
data_Ba2Mg2H
_cell_length_a 9.511
_cell_length_b 9.511
_cell_length_c 4.534
_cell_angle_alpha 90.00
_cell_angle_beta 90.00
_cell_angle_gamma 90.00
_space_group_name_H-M_alt 'P 4/m b m'
_space_group_IT_number 127
_space_group_name_Hall '-P 4 2ab'
loop_
_atom_site_label
_atom_site_type_symbol
_atom_site_fract_x
_atom_site_fract_y
_atom_site_fract_z
Ba1 Ba 0.187 0.313 0.000
Mg1 Mg 0.107 0.607 0.500
H1 H 0.000 0.000 0.500
```

---

Record 6
Below is Ca2AlCo9 after structural relaxation, with properties calculated at the PBE level.

- spin magnetization (μB per formula unit) = 11.98
- energy relative to the elements (meV per atom) = 398
- density of states at the Fermi level (states/eV per cell) = 14.9

Structure (CIF):
```
data_Ca2AlCo9
_cell_length_a 8.4798
_cell_length_b 8.4798
_cell_length_c 2.5469
_cell_angle_alpha 90.00
_cell_angle_beta 90.00
_cell_angle_gamma 120.00
_space_group_name_H-M_alt 'P 6/m m m'
_space_group_IT_number 191
_space_group_name_Hall '-P 6 2'
loop_
_atom_site_label
_atom_site_type_symbol
_atom_site_fract_x
_atom_site_fract_y
_atom_site_fract_z
Ca1 Ca 0.3333 0.6667 0.0000
Al1 Al 0.0000 0.0000 0.0000
Co1 Co 0.0000 0.5000 0.0000
Co2 Co 0.1574 0.3147 0.5000
```

---

Record 7
Below is Ga2TcCSe after structural relaxation, with properties calculated at the PBE level.

- spin magnetization (μB per formula unit) = 0.16
- formation energy (no corrections) (eV per atom) = 0.701
- density of states at the Fermi level (states/eV per cell) = 4.4

Structure (CIF):
```
data_Ga2TcCSe
_cell_length_a 4.998
_cell_length_b 4.998
_cell_length_c 3.871
_cell_angle_alpha 90.00
_cell_angle_beta 90.00
_cell_angle_gamma 90.00
_space_group_name_H-M_alt 'P 4/m m m'
_space_group_IT_number 123
_space_group_name_Hall '-P 4 2'
loop_
_atom_site_label
_atom_site_type_symbol
_atom_site_fract_x
_atom_site_fract_y
_atom_site_fract_z
Ga1 Ga 0.000 0.500 0.000
Tc1 Tc 0.000 0.000 0.000
C1 C 0.000 0.000 0.500
Se1 Se 0.500 0.500 0.500
```

---

Record 8
Below is NiP2CS after structural relaxation, with properties calculated at the PBE level.

- spin magnetization (μB per formula unit) = 0.23
- formation energy (no corrections) (eV per atom) = 1.794
- density of states at the Fermi level (states/eV per cell) = 3.8
- distance to the lowest polymorph of the same formula (eV/f.u.) = 3.05

Structure (CIF):
```
data_NiP2CS
_cell_length_a 4.250
_cell_length_b 4.250
_cell_length_c 4.564
_cell_angle_alpha 90.00
_cell_angle_beta 90.00
_cell_angle_gamma 90.00
_space_group_name_H-M_alt 'P 4/m m m'
_space_group_IT_number 123
_space_group_name_Hall '-P 4 2'
loop_
_atom_site_label
_atom_site_type_symbol
_atom_site_fract_x
_atom_site_fract_y
_atom_site_fract_z
Ni1 Ni 0.000 0.000 0.000
P1 P 0.000 0.500 0.000
C1 C 0.500 0.500 0.500
S1 S 0.000 0.000 0.500
```

---

Record 9
Below is LiTbSmPd after structural relaxation, with properties calculated at the PBE level.

- spin magnetization (μB per formula unit) = 0.00
- energy relative to the elements (meV per atom) = -369
- density of states at the Fermi level (states/eV per cell) = 12.0

Structure (CIF):
```
data_LiTbSmPd
_cell_length_a 7.203
_cell_length_b 7.203
_cell_length_c 7.203
_cell_angle_alpha 90.00
_cell_angle_beta 90.00
_cell_angle_gamma 90.00
_space_group_name_H-M_alt 'F -4 3 m'
_space_group_IT_number 216
_space_group_name_Hall 'F -4 2 3'
loop_
_atom_site_label
_atom_site_type_symbol
_atom_site_fract_x
_atom_site_fract_y
_atom_site_fract_z
Li1 Li 0.000 0.000 0.000
Tb1 Tb 0.250 0.250 0.750
Sm1 Sm 0.250 0.250 0.250
Pd1 Pd 0.000 0.000 0.500
```

---

Record 10
Below is Pm7Ho12Er after structural relaxation, with properties calculated at the PBE level.

- spin magnetization (μB per formula unit) = 0.00
- energy relative to the elements (meV per atom) = 234
- density of states at the Fermi level (states/eV per cell) = 109.0
- distance to the lowest polymorph of the same formula (eV/f.u.) = 0.00

Structure (CIF):
```
data_Pm7Ho12Er
_cell_length_a 11.9355
_cell_length_b 11.9355
_cell_length_c 16.2016
_cell_angle_alpha 90.00
_cell_angle_beta 90.00
_cell_angle_gamma 120.00
_space_group_name_H-M_alt 'R -3'
_space_group_IT_number 148
_space_group_name_Hall '-R 3'
loop_
_atom_site_label
_atom_site_type_symbol
_atom_site_fract_x
_atom_site_fract_y
_atom_site_fract_z
Pm1 Pm 0.0000 0.0000 0.0000
Pm2 Pm 0.0560 0.8677 0.2896
Ho1 Ho 0.0256 0.5758 0.2217
Ho2 Ho 0.0519 0.4660 0.5829
Er1 Er 0.0000 0.0000 0.5000
```

---

Record 11
Below is Hf2TiBe4 after structural relaxation, with properties calculated at the PBE level.

- spin magnetization (μB per formula unit) = 1.29
- energy relative to the elements (meV per atom) = 701
- density of states at the Fermi level (states/eV per cell) = 9.2

Structure (CIF):
```
data_Hf2TiBe4
_cell_length_a 4.108
_cell_length_b 4.108
_cell_length_c 13.317
_cell_angle_alpha 90.00
_cell_angle_beta 90.00
_cell_angle_gamma 90.00
_space_group_name_H-M_alt 'I 4/m m m'
_space_group_IT_number 139
_space_group_name_Hall '-I 4 2'
loop_
_atom_site_label
_atom_site_type_symbol
_atom_site_fract_x
_atom_site_fract_y
_atom_site_fract_z
Hf1 Hf 0.000 0.000 0.125
Ti1 Ti 0.000 0.000 0.500
Be1 Be 0.000 0.000 0.326
Be2 Be 0.000 0.500 0.000
```

---

Record 12
Below is SrHf2I2 after structural relaxation, with properties calculated at the PBE level.

- spin magnetization (μB per formula unit) = 0.00
- formation energy (no corrections) (eV per atom) = -0.090
- density of states at the Fermi level (states/eV per cell) = 6.3
- distance to the lowest polymorph of the same formula (eV/f.u.) = 0.00

Structure (CIF):
```
data_SrHf2I2
_cell_length_a 4.212
_cell_length_b 4.212
_cell_length_c 16.253
_cell_angle_alpha 90.00
_cell_angle_beta 90.00
_cell_angle_gamma 90.00
_space_group_name_H-M_alt 'I 4/m m m'
_space_group_IT_number 139
_space_group_name_Hall '-I 4 2'
loop_
_atom_site_label
_atom_site_type_symbol
_atom_site_fract_x
_atom_site_fract_y
_atom_site_fract_z
Sr1 Sr 0.000 0.000 0.000
Hf1 Hf 0.000 0.500 0.250
I1 I 0.000 0.000 0.387
```

---

no.,DFT total energy (eV/cell)
1,-45.29
2,-34.37
3,-43.98
4,-13.62
5,-17.13
6,-66.92
7,-25.63
8,-20.98
9,-71.73
10,-264.23
11,-75.60
12,-50.28